Compound: Li4VTe3O12
Source: Alexandria
Functional: PBE+U
Structure: optimized geometry

a b c (Å): 5.050 8.798 5.207
angles (deg): 90.00 93.45 90.00
Space group P2 (No. 3)
Unique sites:
Li  0.000  0.000  0.000 [1 per cell]
Li  0.000  0.312  0.500 [1 per cell]
Li  0.500  0.484  0.500 [1 per cell]
Li  0.500  0.881  0.000 [1 per cell]
V  0.500  0.075  0.500 [1 per cell]
Te  0.000  0.577  0.000 [1 per cell]
Te  0.000  0.779  0.500 [1 per cell]
Te  0.500  0.253  0.000 [1 per cell]
O  0.203  0.758  0.832 [2 per cell]
O  0.216  0.618  0.352 [2 per cell]
O  0.236  0.928  0.356 [2 per cell]
O  0.283  0.401  0.814 [2 per cell]
O  0.290  0.232  0.306 [2 per cell]
O  0.306  0.083  0.819 [2 per cell]

crystal system: monoclinic
uncorrected energy: -5.710 eV/atom